CaVCO5 | PBE+U | relaxed

Properties
- Uncorrected energy: -7.38 eV/atom
- Density: 3.68 g cm⁻³
- M_tot: 2.0 μB per cell
- Volume: 165.4 Å³ per cell

Cell lengths 5.2379, 5.2379, 6.8278 Å; angles 103.96, 103.96, 105.64 degrees
Fractional positions:
Ca 0.1571 0.8429 0.7500
Ca 0.8429 0.1571 0.2500
V 0.5000 0.5000 0.0000
V 0.5000 0.5000 0.5000
C 0.1852 0.8148 0.2500
C 0.8148 0.1852 0.7500
O 0.0832 0.2492 0.9007
O 0.1800 0.6194 0.3628
O 0.2492 0.0832 0.4007
O 0.3806 0.8200 0.1372
O 0.4259 0.5741 0.7500
O 0.5741 0.4259 0.2500
O 0.6194 0.1800 0.8628
O 0.7508 0.9168 0.5993
O 0.8200 0.3806 0.6372
O 0.9168 0.7508 0.0993